i.
Here is a relaxed structure of MnCSN2 from the Alexandria database. Energies are from PBE-GGA.

Cell and atoms, written as POSCAR:
```
MnCSN2
1.0
3.5195 0.0000 0.0000
0.0000 3.5195 0.0000
0.0000 0.0000 4.3818
Mn C S N
1 1 1 2
direct
0.0000 0.0000 0.0000
0.0000 0.0000 0.5000
0.5000 0.5000 0.5000
0.0000 0.5000 0.0000
0.5000 0.0000 0.0000
```

The calculation puts the magnetization at 0.0 μB per formula unit.

=====

ii.
Here is a relaxed structure of MnCSN2 from the Alexandria database. Energies are from PBE-GGA.

Cell and atoms, written as POSCAR:
```
MnCSN2
1.0
3.4801 0.0000 0.0000
0.0000 3.4801 0.0000
0.0000 0.0000 5.0419
Mn C S N
1 1 1 2
direct
0.0000 0.0000 0.0000
0.5000 0.5000 0.5000
0.0000 0.0000 0.5000
0.0000 0.5000 0.0000
0.5000 0.0000 0.0000
```

The calculation puts the magnetization at 0.8 μB per formula unit.

=====

It is i that is the most stable of them.